[1]
# ZnGaPO2 PBE-GGA optimized geometry
data_ZnGaPO2
_chemical_formula_sum 'Zn1 Ga1 P1 O2'
_cell_length_a 3.7686
_cell_length_b 3.7686
_cell_length_c 5.0703
_cell_angle_alpha 90.00
_cell_angle_beta 90.00
_cell_angle_gamma 90.00
_space_group_name_H-M_alt 'P 4/m m m'
_space_group_IT_number 123
_space_group_name_Hall '-P 4 2'
loop_
_atom_site_label
_atom_site_type_symbol
_atom_site_fract_x
_atom_site_fract_y
_atom_site_fract_z
Zn1 Zn 0.0000 0.0000 0.0000
Ga1 Ga 0.5000 0.5000 0.5000
P1 P 0.0000 0.0000 0.5000
O1 O 0.0000 0.5000 0.0000
# formation energy from raw total energies: 0.29 eV per formula unit
# magnetization: 0.000 μB per atom

---

[2]
# Hg4PdCl2O PBE-GGA optimized geometry
data_Hg4PdCl2O
_chemical_formula_sum 'Hg16 Pd4 Cl8 O4'
_cell_length_a 10.8045
_cell_length_b 12.5868
_cell_length_c 7.4097
_cell_angle_alpha 90.00
_cell_angle_beta 133.28
_cell_angle_gamma 90.00
_space_group_name_H-M_alt 'C 1 2/c 1'
_space_group_IT_number 15
loop_
_space_group_symop_operation_xyz
'x,y,z'
'-x,-y,-z'
'-x,y,-z+1/2'
'x,-y,z+1/2'
'x+1/2,y+1/2,z'
'-x+1/2,-y+1/2,-z'
'-x+1/2,y+1/2,-z+1/2'
'x+1/2,-y+1/2,z+1/2'
loop_
_atom_site_label
_atom_site_type_symbol
_atom_site_fract_x
_atom_site_fract_y
_atom_site_fract_z
Hg1 Hg 0.0007 0.2230 0.4668
Hg2 Hg 0.2392 0.0424 0.4892
Pd1 Pd 0.0000 0.0000 0.0000
Cl1 Cl 0.0000 0.5000 0.0000
Cl2 Cl 0.2500 0.2500 0.0000
O1 O 0.2500 0.2500 0.5000
# formation energy from raw total energies: -0.93 eV per formula unit
# magnetization: 0.000 μB per atom

---

[3]
# KPd2Rh2 PBE-GGA optimized geometry
data_KPd2Rh2
_chemical_formula_sum 'K2 Pd4 Rh4'
_cell_length_a 8.0974
_cell_length_b 8.0974
_cell_length_c 2.7229
_cell_angle_alpha 90.00
_cell_angle_beta 90.00
_cell_angle_gamma 90.00
_space_group_name_H-M_alt 'P 4/m b m'
_space_group_IT_number 127
_space_group_name_Hall '-P 4 2ab'
loop_
_atom_site_label
_atom_site_type_symbol
_atom_site_fract_x
_atom_site_fract_y
_atom_site_fract_z
K1 K 0.0000 0.0000 0.0000
Pd1 Pd 0.1827 0.3173 0.5000
Rh1 Rh 0.1127 0.6127 0.0000
# energy relative to the elements: 230.4 meV/atom
# magnetization: 0.314 μB per atom

---

[4]
# NaVCuSe2 PBE-GGA optimized geometry
data_NaVCuSe2
_chemical_formula_sum 'Na2 V2 Cu2 Se4'
_cell_length_a 7.2902
_cell_length_b 5.0930
_cell_length_c 5.6136
_cell_angle_alpha 90.00
_cell_angle_beta 105.88
_cell_angle_gamma 90.00
_space_group_name_H-M_alt 'P 1 2/c 1'
_space_group_IT_number 13
loop_
_space_group_symop_operation_xyz
'x,y,z'
'-x,-y,-z'
'-x,y,-z+1/2'
'x,-y,z+1/2'
loop_
_atom_site_label
_atom_site_type_symbol
_atom_site_fract_x
_atom_site_fract_y
_atom_site_fract_z
Na1 Na 0.0000 0.2167 0.2500
V1 V 0.5000 0.4994 0.7500
Cu1 Cu 0.5000 0.0000 0.0000
Se1 Se 0.2515 0.2964 0.9110
# formation energy from raw total energies: -2.57 eV per formula unit
# magnetization: 0.000 μB per atom

---

[5]
# AgPd5 PBE-GGA optimized geometry
data_AgPd5
_chemical_formula_sum 'Ag1 Pd5'
_cell_length_a 2.8086
_cell_length_b 2.8086
_cell_length_c 12.0056
_cell_angle_alpha 90.00
_cell_angle_beta 90.00
_cell_angle_gamma 90.00
_space_group_name_H-M_alt 'P 4/m m m'
_space_group_IT_number 123
_space_group_name_Hall '-P 4 2'
loop_
_atom_site_label
_atom_site_type_symbol
_atom_site_fract_x
_atom_site_fract_y
_atom_site_fract_z
Ag1 Ag 0.0000 0.0000 0.0000
Pd1 Pd 0.0000 0.0000 0.3373
Pd2 Pd 0.5000 0.5000 0.1736
Pd3 Pd 0.5000 0.5000 0.5000
# energy relative to the elements: 0.1 meV/atom
# magnetization: 0.237 μB per atom

---

[6]
# CuP4 PBE-GGA optimized geometry
data_CuP4
_chemical_formula_sum 'Cu2 P8'
_cell_length_a 7.6059
_cell_length_b 7.6059
_cell_length_c 3.7048
_cell_angle_alpha 90.00
_cell_angle_beta 90.00
_cell_angle_gamma 90.00
_space_group_name_H-M_alt 'I 4/m'
_space_group_IT_number 87
_space_group_name_Hall '-I 4'
loop_
_atom_site_label
_atom_site_type_symbol
_atom_site_fract_x
_atom_site_fract_y
_atom_site_fract_z
Cu1 Cu 0.0000 0.0000 0.0000
P1 P 0.0766 0.1942 0.5000
# energy relative to the elements: 275.6 meV/atom
# magnetization: 0.000 μB per atom

---

[7]
# ReHPt2 PBE-GGA optimized geometry
data_ReHPt2
_chemical_formula_sum 'Re3 H3 Pt6'
_cell_length_a 2.7376
_cell_length_b 2.7376
_cell_length_c 23.9659
_cell_angle_alpha 90.00
_cell_angle_beta 90.00
_cell_angle_gamma 120.00
_space_group_name_H-M_alt 'R -3 m'
_space_group_IT_number 166
_space_group_name_Hall '-R 3 2"'
loop_
_atom_site_label
_atom_site_type_symbol
_atom_site_fract_x
_atom_site_fract_y
_atom_site_fract_z
Re1 Re 0.0000 0.0000 0.0000
H1 H 0.0000 0.0000 0.5000
Pt1 Pt 0.0000 0.0000 0.1091
# electronic total energy: -79.01 eV per cell
# magnetization: 0.000 μB per atom

---

[8]
# AcBeAu2 PBE-GGA optimized geometry
data_AcBeAu2
_chemical_formula_sum 'Ac3 Be3 Au6'
_cell_length_a 4.3305
_cell_length_b 4.3305
_cell_length_c 16.6148
_cell_angle_alpha 90.00
_cell_angle_beta 90.00
_cell_angle_gamma 120.00
_space_group_name_H-M_alt 'R -3 m'
_space_group_IT_number 166
_space_group_name_Hall '-R 3 2"'
loop_
_atom_site_label
_atom_site_type_symbol
_atom_site_fract_x
_atom_site_fract_y
_atom_site_fract_z
Ac1 Ac 0.0000 0.0000 0.0000
Be1 Be 0.0000 0.0000 0.5000
Au1 Au 0.0000 0.0000 0.2083
# energy relative to the elements: -470.6 meV/atom
# magnetization: 0.000 μB per atom

---

[9]
# AgHg5Pd6 PBE-GGA optimized geometry
data_AgHg5Pd6
_chemical_formula_sum 'Ag1 Hg5 Pd6'
_cell_length_a 4.8628
_cell_length_b 6.1567
_cell_length_c 7.2024
_cell_angle_alpha 90.00
_cell_angle_beta 97.65
_cell_angle_gamma 90.00
_space_group_name_H-M_alt 'P 1 2/m 1'
_space_group_IT_number 10
loop_
_space_group_symop_operation_xyz
'x,y,z'
'-x,-y,-z'
'-x,y,-z'
'x,-y,z'
loop_
_atom_site_label
_atom_site_type_symbol
_atom_site_fract_x
_atom_site_fract_y
_atom_site_fract_z
Ag1 Ag 0.0000 0.0000 0.0000
Hg1 Hg 0.0000 0.5000 0.0000
Hg2 Hg 0.3295 0.0000 0.6739
Hg3 Hg 0.3308 0.5000 0.6668
Pd1 Pd 0.1704 0.2485 0.3346
Pd2 Pd 0.5000 0.2514 0.0000
# energy relative to the elements: -161.8 meV/atom
# magnetization: 0.000 μB per atom

---

[10]
# ZrAg2Sb PBE-GGA optimized geometry
data_ZrAg2Sb
_chemical_formula_sum 'Zr1 Ag2 Sb1'
_cell_length_a 3.1169
_cell_length_b 3.9625
_cell_length_c 6.8231
_cell_angle_alpha 90.00
_cell_angle_beta 90.00
_cell_angle_gamma 90.00
_space_group_name_H-M_alt 'P m m 2'
_space_group_IT_number 25
loop_
_space_group_symop_operation_xyz
'x,y,z'
'-x,-y,z'
'-x,y,z'
'x,-y,z'
loop_
_atom_site_label
_atom_site_type_symbol
_atom_site_fract_x
_atom_site_fract_y
_atom_site_fract_z
Zr1 Zr 0.0000 0.0000 0.0000
Ag1 Ag 0.0000 0.0000 0.4627
Ag2 Ag 0.5000 0.5000 0.2570
Sb1 Sb 0.5000 0.5000 0.7462
# formation energy from raw total energies: -0.48 eV per formula unit
# magnetization: 0.000 μB per atom

---

[11]
# CaSb2Mo PBE-GGA optimized geometry
data_CaSb2Mo
_chemical_formula_sum 'Ca4 Sb8 Mo4'
_cell_length_a 7.9877
_cell_length_b 7.9877
_cell_length_c 6.6520
_cell_angle_alpha 90.00
_cell_angle_beta 90.00
_cell_angle_gamma 90.00
_space_group_name_H-M_alt 'I -4 2 d'
_space_group_IT_number 122
_space_group_name_Hall 'I -4 2bw'
loop_
_atom_site_label
_atom_site_type_symbol
_atom_site_fract_x
_atom_site_fract_y
_atom_site_fract_z
Ca1 Ca 0.0000 0.0000 0.0000
Sb1 Sb 0.2085 0.2500 0.6250
Mo1 Mo 0.0000 0.0000 0.5000
# formation energy from raw total energies: 0.33 eV per formula unit
# magnetization: 0.471 μB per atom